# Sr3Pa3WN8

An optimized crystal structure of Sr3Pa3WN8 (PBE, the Alexandria database).

a b c (Å): 7.215 7.215 7.215
angles (deg): 57.47 57.47 57.47
Fractional coordinates of all 15 atoms:
Sr  0.000  0.500  0.500
Sr  0.500  0.000  0.500
Sr  0.500  0.500  0.000
Pa  0.000  0.000  0.500
Pa  0.000  0.500  0.000
Pa  0.500  0.000  0.000
W  0.500  0.500  0.500
N  0.236  0.236  0.236
N  0.247  0.716  0.716
N  0.284  0.284  0.753
N  0.284  0.753  0.284
N  0.716  0.247  0.716
N  0.716  0.716  0.247
N  0.753  0.284  0.284
N  0.764  0.764  0.764

Summary:
ρ   8.31 g cm⁻³
Calculated volume   16.67 Å³ per atom
Formation energy from raw total energies   -17.26 eV per formula unit



# K2TaVN4

An optimized crystal structure of K2TaVN4 (PBE, the Alexandria database).

a b c (Å): 6.068 6.568 6.912
angles (deg): 90.00 90.00 90.00
Fractional coordinates of all 16 atoms:
K  0.250  0.001  0.203
K  0.250  0.499  0.203
K  0.750  0.501  0.797
K  0.750  0.999  0.797
Ta  0.250  0.250  0.654
Ta  0.750  0.750  0.346
V  0.250  0.750  0.662
V  0.750  0.250  0.338
N  0.010  0.750  0.509
N  0.250  0.508  0.801
N  0.250  0.992  0.801
N  0.490  0.750  0.509
N  0.510  0.250  0.491
N  0.750  0.008  0.199
N  0.750  0.492  0.199
N  0.990  0.250  0.491

Summary:
ρ   4.41 g cm⁻³
Calculated volume   17.22 Å³ per atom
Formation energy from raw total energies   -6.09 eV per formula unit



# LiYSc2S4

An optimized crystal structure of LiYSc2S4 (PBE, the Alexandria database).

a b c (Å): 6.471 3.747 6.571
angles (deg): 90.00 109.11 90.00
Fractional coordinates of all 8 atoms:
Li  0.000  0.000  0.000
Y  0.500  0.500  0.000
Sc  0.000  0.500  0.500
Sc  0.500  0.000  0.500
S  0.239  0.000  0.740
S  0.248  0.500  0.259
S  0.752  0.500  0.741
S  0.761  0.000  0.260

Summary:
ρ   3.46 g cm⁻³
Calculated volume   18.82 Å³ per atom
Formation energy from raw total energies   -14.99 eV per formula unit



# BaNaP2Pt2

An optimized crystal structure of BaNaP2Pt2 (PBE, the Alexandria database).

a b c (Å): 4.073 4.073 9.383
angles (deg): 90.00 90.00 120.00
Fractional coordinates of all 6 atoms:
Ba  0.000  0.000  0.000
Na  0.000  0.000  0.500
P  0.333  0.667  0.738
P  0.667  0.333  0.262
Pt  0.333  0.667  0.267
Pt  0.667  0.333  0.733

Summary:
ρ   7.54 g cm⁻³
Calculated volume   22.47 Å³ per atom
Formation enthalpy at 0 K   -0.74 eV/atom



# PmSmAl

An optimized crystal structure of PmSmAl (PBE, the Alexandria database).

a b c (Å): 5.160 3.538 5.214
angles (deg): 90.00 90.07 90.00
Fractional coordinates of all 3 atoms:
Pm  0.000  0.000  0.000
Sm  0.500  0.000  0.500
Al  0.000  0.500  0.500

Summary:
Energy above the lowest structure with this stoichiometry   195.3 meV per atom
ρ   5.62 g cm⁻³
Calculated volume   31.73 Å³ per atom
Formation enthalpy at 0 K   -0.02 eV/atom



# HoZr2Rh

An optimized crystal structure of HoZr2Rh (PBE, the Alexandria database).

a b c (Å): 9.629 9.629 9.629
angles (deg): 20.00 20.00 20.00
Fractional coordinates of all 4 atoms:
Ho  0.000  0.000  0.000
Zr  0.235  0.235  0.235
Zr  0.765  0.765  0.765
Rh  0.500  0.500  0.500

Summary:
Energy above the lowest structure with this stoichiometry   241.5 meV per atom
ρ   8.19 g cm⁻³
Calculated volume   22.83 Å³ per atom
Formation enthalpy at 0 K   -0.15 eV/atom



# NaCaSb

An optimized crystal structure of NaCaSb (PBE, the Alexandria database).

a b c (Å): 4.972 4.972 4.454
angles (deg): 90.00 90.00 120.00
Fractional coordinates of all 3 atoms:
Na  0.000  0.000  0.000
Ca  0.333  0.667  0.525
Sb  0.667  0.333  0.206

Summary:
ρ   3.22 g cm⁻³
Calculated volume   31.79 Å³ per atom
Formation energy from raw total energies   -1.57 eV per formula unit



# LaTbSbSe

An optimized crystal structure of LaTbSbSe (PBE, the Alexandria database).

a b c (Å): 8.014 8.014 8.014
angles (deg): 30.79 30.79 30.79
Fractional coordinates of all 4 atoms:
La  0.000  0.000  0.000
Tb  0.168  0.168  0.168
Sb  0.579  0.579  0.579
Se  0.757  0.757  0.757

Summary:
ρ   6.92 g cm⁻³
Calculated volume   29.90 Å³ per atom
Formation energy from raw total energies   -5.83 eV per formula unit



# Pr2GdTh

An optimized crystal structure of Pr2GdTh (PBE, the Alexandria database).

a b c (Å): 5.149 5.149 5.140
angles (deg): 90.00 90.00 90.00
Fractional coordinates of all 4 atoms:
Pr  0.000  0.500  0.000
Pr  0.500  0.000  0.000
Gd  0.000  0.000  0.500
Th  0.500  0.500  0.500

Summary:
Energy above the lowest structure with this stoichiometry   11.3 meV per atom
ρ   8.18 g cm⁻³
Calculated volume   34.07 Å³ per atom
Formation enthalpy at 0 K   0.06 eV/atom



# SiRu2Br

An optimized crystal structure of SiRu2Br (PBE, the Alexandria database).

a b c (Å): 2.955 3.806 5.844
angles (deg): 90.00 90.00 90.00
Fractional coordinates of all 4 atoms:
Si  0.000  0.000  0.000
Ru  0.000  0.000  0.599
Ru  0.500  0.500  0.892
Br  0.500  0.500  0.438

Summary:
Energy above the lowest structure with this stoichiometry   274.4 meV per atom
ρ   7.83 g cm⁻³
Calculated volume   16.43 Å³ per atom
Formation energy from raw total energies   1.36 eV per formula unit



# AcSn3Au3

An optimized crystal structure of AcSn3Au3 (PBE, the Alexandria database).

a b c (Å): 8.590 8.590 8.590
angles (deg): 56.72 56.72 56.72
Fractional coordinates of all 14 atoms:
Ac  0.165  0.165  0.165
Ac  0.835  0.835  0.835
Sn  0.098  0.391  0.689
Sn  0.311  0.902  0.609
Sn  0.391  0.689  0.098
Sn  0.609  0.311  0.902
Sn  0.689  0.098  0.391
Sn  0.902  0.609  0.311
Au  0.037  0.772  0.410
Au  0.228  0.590  0.963
Au  0.410  0.037  0.772
Au  0.590  0.963  0.228
Au  0.772  0.410  0.037
Au  0.963  0.228  0.590

Summary:
Energy above the lowest structure with this stoichiometry   82.8 meV per atom
ρ   9.41 g cm⁻³
Calculated volume   29.59 Å³ per atom
Formation enthalpy at 0 K   -0.35 eV/atom



# LiZrAlAg

An optimized crystal structure of LiZrAlAg (PBE, the Alexandria database).

a b c (Å): 4.683 4.683 4.683
angles (deg): 60.00 60.00 60.00
Fractional coordinates of all 4 atoms:
Li  0.000  0.000  0.000
Zr  0.500  0.500  0.500
Al  0.750  0.750  0.750
Ag  0.250  0.250  0.250

Summary:
ρ   5.33 g cm⁻³
Calculated volume   18.16 Å³ per atom
Formation enthalpy at 0 K   -0.15 eV/atom



# K2ClF

An optimized crystal structure of K2ClF (PBE, the Alexandria database).

a b c (Å): 3.557 3.557 7.169
angles (deg): 90.00 90.00 90.00
Fractional coordinates of all 4 atoms:
K  0.000  0.000  0.225
K  0.000  0.000  0.775
Cl  0.500  0.500  0.500
F  0.500  0.500  0.000

Summary:
Energy above the lowest structure with this stoichiometry   106.9 meV per atom
ρ   2.43 g cm⁻³
Calculated volume   22.67 Å³ per atom
Formation energy from raw total energies   -8.79 eV per formula unit